Record 1
Below is PmZrZnRe after structural relaxation, with properties calculated at the GGA-PBE level.

Results
- Formation energy from the elements: 0.01 eV/atom
- N(E_F): 1.03 states/eV/atom
- Total energy: -6.75 eV/atom
- Calculated volume: 20.526 Å³ per atom
- Crystal system: cubic

a b c (Å): 6.8993 6.8993 6.8993
angles (deg): 90.00 90.00 90.00
Closest atoms and distances in Å follow each position.
Space group F-43m (No. 216)
Inequivalent atoms, fractional coordinates:
Pm1 0.0000 0.0000 0.0000 [4 per cell]  4 Re 2.99, 4 Zn 2.99
Zr1 0.0000 0.0000 0.5000 [4 per cell]  4 Re 2.99, 4 Zn 2.99
Zn1 0.2500 0.2500 0.7500 [4 per cell]  4 Zr 2.99, 4 Pm 2.99
Re1 0.2500 0.2500 0.2500 [4 per cell]  4 Zr 2.99, 4 Pm 2.99

Record 2
Below is PmZrRe after structural relaxation, with properties calculated at the GGA-PBE level.

Results
- Formation energy from the elements: 0.12 eV/atom
- N(E_F): 1.38 states/eV/atom
- Total energy: -8.46 eV/atom
- Calculated volume: 22.927 Å³ per atom
- Crystal system: trigonal

a b c (Å): 5.9752 5.9752 40.0405
angles (deg): 90.00 90.00 120.00
Closest atoms and distances in Å follow each position.
Space group R-3m (No. 166, hexagonal axes)
Inequivalent atoms, fractional coordinates:
Pm1 0.0000 0.0000 0.0368 [6 per cell]  1 Pm 2.95
Pm2 0.0000 0.0000 0.1803 [6 per cell]  9 Zr 3.33-3.45, 3 Re 3.49, 4 Pm 3.62
Pm3 0.0000 0.0000 0.2709 [6 per cell]  3 Re 3.04
Zr1 0.0094 0.5047 0.2234 [18 per cell]  2 Re 2.82-2.98, 4 Zr 2.90-3.07
Re1 0.0000 0.0000 0.3819 [6 per cell]  3 Re 2.60
Re2 0.0000 0.0000 0.5000 [3 per cell]  6 Zr 2.82
Re3 0.0000 0.5000 0.0000 [9 per cell]  2 Re 2.60

Record 3
Below is PmZrRe4 after structural relaxation, with properties calculated at the GGA-PBE level.

Results
- Formation energy from the elements: -0.11 eV/atom
- N(E_F): 1.67 states/eV/atom
- Total energy: -10.62 eV/atom
- Calculated volume: 18.562 Å³ per atom
- Crystal system: cubic

a b c (Å): 7.6374 7.6374 7.6374
angles (deg): 90.00 90.00 90.00
Closest atoms and distances in Å follow each position.
Space group F-43m (No. 216)
Inequivalent atoms, fractional coordinates:
Pm1 0.0000 0.0000 0.0000 [4 per cell]  12 Re 3.17, 4 Zr 3.31
Zr1 0.2500 0.2500 0.7500 [4 per cell]  12 Re 3.17, 4 Pm 3.31
Re1 0.1246 0.1246 0.3754 [16 per cell]  6 Re 2.69-2.71

Record 4
Below is Pm7Rh5 after structural relaxation, with properties calculated at the GGA-PBE level.

Results
- Formation energy from the elements: -0.61 eV/atom
- N(E_F): 0.68 states/eV/atom
- Total energy: -6.45 eV/atom
- Calculated volume: 26.190 Å³ per atom
- Crystal system: monoclinic

a b c (Å): 13.4597 3.9763 12.1827
angles (deg): 90.00 105.41 90.00
Closest atoms and distances in Å follow each position.
Space group C2/m (No. 12)
Inequivalent atoms, fractional coordinates:
Pm1 0.0000 0.0000 0.0000 [2 per cell]  4 Rh 2.84
Pm2 0.0385 0.5000 0.2843 [4 per cell]  4 Rh 2.81-2.89
Pm3 0.1564 0.0000 0.5484 [4 per cell]  5 Rh 2.84-3.12
Pm4 0.2438 0.0000 0.8582 [4 per cell]  5 Rh 2.83-3.09
Rh1 0.0000 0.5000 0.5000 [2 per cell]  6 Pm 2.81-2.84
Rh2 0.1163 0.5000 0.9226 [4 per cell]  6 Pm 2.81-2.87
Rh3 0.1992 0.0000 0.3092 [4 per cell]  7 Pm 2.89-3.12

Record 5
Below is Pm5Rh4 after structural relaxation, with properties calculated at the GGA-PBE level.

Results
- Formation energy from the elements: -0.43 eV/atom
- N(E_F): 0.58 states/eV/atom
- Total energy: -6.33 eV/atom
- Calculated volume: 23.298 Å³ per atom
- Crystal system: orthorhombic

a b c (Å): 3.6682 10.6798 10.7049
angles (deg): 90.00 90.00 90.00
Closest atoms and distances in Å follow each position.
Space group Immm (No. 71)
Inequivalent atoms, fractional coordinates:
Pm1 0.0000 0.0000 0.0000 [2 per cell]  4 Pm 3.17, 8 Rh 3.22
Pm2 0.0000 0.0000 0.2963 [4 per cell]  4 Rh 2.92, 1 Pm 3.17
Pm3 0.0000 0.2970 0.0000 [4 per cell]  4 Rh 2.92, 1 Pm 3.17
Rh1 0.0000 0.3252 0.3255 [8 per cell]  6 Pm 2.92-3.22, 2 Rh 2.93

Record 6
Below is Pm4Rh after structural relaxation, with properties calculated at the GGA-PBE level.

Results
- Formation energy from the elements: -0.15 eV/atom
- N(E_F): 1.63 states/eV/atom
- Total energy: -5.42 eV/atom
- Calculated volume: 34.362 Å³ per atom
- Crystal system: cubic

a b c (Å): 5.5592 5.5592 5.5592
angles (deg): 90.00 90.00 90.00
Closest atoms and distances in Å follow each position.
Space group Pm-3m (No. 221)
Inequivalent atoms, fractional coordinates:
Pm1 0.0000 0.0000 0.0000 [1 per cell]  12 Pm 3.93
Pm2 0.0000 0.5000 0.5000 [3 per cell]  2 Rh 2.78
Rh1 0.5000 0.5000 0.5000 [1 per cell]  6 Pm 2.78